Entry 1:
Material: MgCrBr2
Method: DFT, PBE
State: optimized geometry

space-group type = No. 123
crystal system = tetragonal
formation energy (no corrections) = -0.0487 eV/atom
energy = -3.690 eV/atom
energy relative to the lowest polymorph listed for this composition = 373 meV/atom

abc: 5.0562 5.0562 3.6259
angles: 90.00 90.00 90.00
With the nearest neighbours (Å) after each atom.
Sites, in units of the cell vectors:
1 Mg 0.0000 0.0000 0.0000  8 Br 3.11
2 Cr 0.5000 0.5000 0.0000  8 Br 3.11
3 Br 0.0000 0.5000 0.5000  4 Cr 3.11, 4 Mg 3.11
4 Br 0.5000 0.0000 0.5000  4 Cr 3.11, 4 Mg 3.11


Entry 2:
Material: Ac4AsSe2I
Method: DFT, PBE
State: optimized geometry

space-group type = No. 10
crystal system = monoclinic
formation energy (no corrections) = -1.5312 eV/atom
energy = -5.232 eV/atom

abc: 7.8614 4.5362 7.9543
angles: 90.00 109.32 90.00
With the nearest neighbours (Å) after each atom.
Sites, in units of the cell vectors:
1 Ac 0.2297 0.0000 0.2214  3 Se 3.07-3.29, 1 As 3.18, 2 I 3.38
2 Ac 0.2455 0.5000 0.7701  3 Se 3.07-3.28, 2 As 3.17, 1 I 3.39
3 Ac 0.7545 0.5000 0.2299  3 Se 3.07-3.28, 2 As 3.17, 1 I 3.39
4 Ac 0.7703 0.0000 0.7786  3 Se 3.07-3.29, 1 As 3.18, 2 I 3.38
5 As 0.5000 0.0000 0.0000  6 Ac 3.17-3.18
6 Se 0.0000 0.0000 0.5000  6 Ac 3.28-3.29
7 Se 0.0000 0.5000 0.0000  6 Ac 3.07
8 I 0.5000 0.5000 0.5000  6 Ac 3.38-3.39


Entry 3:
Material: ZnBiPb2
Method: DFT, PBE
State: optimized geometry

space-group type = No. 160
crystal system = trigonal
energy = -3.020 eV/atom
energy relative to the lowest polymorph listed for this composition = 0 meV/atom

abc: 7.0377 7.0377 7.0377
angles: 38.65 38.65 38.65
With the nearest neighbours (Å) after each atom.
Sites, in units of the cell vectors:
1 Zn 0.0000 0.0000 0.0000  6 Pb 2.97-3.03, 1 Bi 3.29
2 Bi 0.1688 0.1688 0.1688  1 Zn 3.29, 6 Pb 3.29-3.32
3 Pb 0.4046 0.4046 0.4046  3 Zn 3.03, 3 Bi 3.29
4 Pb 0.6022 0.6022 0.6022  3 Zn 2.97, 3 Bi 3.32